1.
Material: GaTe2Pd8
Method: DFT, GGA-PBE
State: relaxed

CIF file:
```
data_GaTe2Pd8
_symmetry_space_group_name_H-M 'I m m m'
_symmetry_Int_Tables_number 71
_symmetry_space_group_name_Hall '-I 2 2'
_cell_length_a 4.088
_cell_length_b 7.679
_cell_length_c 12.057
_cell_angle_alpha 90.00
_cell_angle_beta 90.00
_cell_angle_gamma 90.00
loop_
_atom_site_label
_atom_site_fract_x
_atom_site_fract_y
_atom_site_fract_z
_atom_site_occupancy
Ga1 0.000 0.000 0.000 1
Te1 0.000 0.000 0.318 1
Pd1 0.000 0.196 0.500 1
Pd2 0.000 0.259 0.164 1
Pd3 0.000 0.500 0.372 1
```

Values from the calculation:
Formation energy without anion corrections (eV/atom): -0.324
ρ (g/cm³): 10.320
Relative energy among the computed polymorphs (meV/atom): 29

2.
Material: PmTm3In
Method: DFT, GGA-PBE
State: relaxed

CIF file:
```
data_PmTm3In
_symmetry_space_group_name_H-M 'P 63/m m c'
_symmetry_Int_Tables_number 194
_symmetry_space_group_name_Hall '-P 6c 2c'
_cell_length_a 7.9555
_cell_length_b 7.9555
_cell_length_c 5.9356
_cell_angle_alpha 90.00
_cell_angle_beta 90.00
_cell_angle_gamma 120.00
loop_
_atom_site_label
_atom_site_fract_x
_atom_site_fract_y
_atom_site_fract_z
_atom_site_occupancy
Pm1 0.3333 0.6667 0.2500 1
Tm1 0.1941 0.3881 0.7500 1
In1 0.0000 0.0000 0.0000 1
```

Values from the calculation:
Energy relative to the elements (eV/atom): 0.08
ρ (g/cm³): 7.825
Relative energy among the computed polymorphs (meV/atom): 246

3.
Material: KSi2CO
Method: DFT, GGA-PBE
State: relaxed

CIF file:
```
data_KSi2CO
_symmetry_space_group_name_H-M 'P 4/m m m'
_symmetry_Int_Tables_number 123
_symmetry_space_group_name_Hall '-P 4 2'
_cell_length_a 3.877
_cell_length_b 3.877
_cell_length_c 5.840
_cell_angle_alpha 90.00
_cell_angle_beta 90.00
_cell_angle_gamma 90.00
loop_
_atom_site_label
_atom_site_fract_x
_atom_site_fract_y
_atom_site_fract_z
_atom_site_occupancy
K1 0.000 0.000 0.000 1
Si1 0.000 0.500 0.500 1
C1 0.500 0.500 0.500 1
O1 0.500 0.500 0.000 1
```

Values from the calculation:
Formation energy without anion corrections (eV/atom): 0.804
ρ (g/cm³): 2.332

4.
Material: Fe2HgSe
Method: DFT, GGA-PBE
State: relaxed

CIF file:
```
data_Fe2HgSe
_symmetry_space_group_name_H-M 'C 1 m 1'
_symmetry_Int_Tables_number 8
_cell_length_a 7.823
_cell_length_b 3.128
_cell_length_c 6.358
_cell_angle_alpha 90.00
_cell_angle_beta 102.13
_cell_angle_gamma 90.00
loop_
_symmetry_equiv_pos_as_xyz
'x,y,z'
'x,-y,z'
'x+1/2,y+1/2,z'
'x+1/2,-y+1/2,z'
loop_
_atom_site_label
_atom_site_fract_x
_atom_site_fract_y
_atom_site_fract_z
_atom_site_occupancy
Fe1 0.000 0.000 0.000 1
Fe2 0.233 0.500 0.146 1
Hg1 0.487 0.000 0.412 1
Se1 0.261 0.000 0.846 1
```

Values from the calculation:
Formation energy without anion corrections (eV/atom): 0.251
ρ (g/cm³): 8.542

5.
Material: InBICl2
Method: DFT, GGA-PBE
State: relaxed

CIF file:
```
data_InBICl2
_symmetry_space_group_name_H-M 'P 4/m m m'
_symmetry_Int_Tables_number 123
_symmetry_space_group_name_Hall '-P 4 2'
_cell_length_a 4.838
_cell_length_b 4.838
_cell_length_c 5.022
_cell_angle_alpha 90.00
_cell_angle_beta 90.00
_cell_angle_gamma 90.00
loop_
_atom_site_label
_atom_site_fract_x
_atom_site_fract_y
_atom_site_fract_z
_atom_site_occupancy
In1 0.000 0.000 0.000 1
B1 0.500 0.500 0.500 1
I1 0.500 0.500 0.000 1
Cl1 0.000 0.500 0.500 1
```

Values from the calculation:
Formation energy without anion corrections (eV/atom): 0.130
ρ (g/cm³): 4.569

6.
Material: InHgIN2
Method: DFT, GGA-PBE
State: relaxed

CIF file:
```
data_InHgIN2
_symmetry_space_group_name_H-M 'P 4/m m m'
_symmetry_Int_Tables_number 123
_symmetry_space_group_name_Hall '-P 4 2'
_cell_length_a 4.334
_cell_length_b 4.334
_cell_length_c 7.062
_cell_angle_alpha 90.00
_cell_angle_beta 90.00
_cell_angle_gamma 90.00
loop_
_atom_site_label
_atom_site_fract_x
_atom_site_fract_y
_atom_site_fract_z
_atom_site_occupancy
In1 0.000 0.000 0.000 1
Hg1 0.500 0.500 0.500 1
I1 0.000 0.000 0.500 1
N1 0.000 0.500 0.000 1
```

Values from the calculation:
Formation energy without anion corrections (eV/atom): 1.321
ρ (g/cm³): 5.887
Relative energy among the computed polymorphs (meV/atom): 0

7.
Material: LiPd8Au5
Method: DFT, GGA-PBE
State: relaxed

CIF file:
```
data_LiPd8Au5
_symmetry_space_group_name_H-M 'I -4'
_symmetry_Int_Tables_number 82
_cell_length_a 7.740
_cell_length_b 7.740
_cell_length_c 7.887
_cell_angle_alpha 90.00
_cell_angle_beta 90.00
_cell_angle_gamma 90.00
loop_
_symmetry_equiv_pos_as_xyz
'x,y,z'
'y,-x,-z'
'-x,-y,z'
'-y,x,-z'
'x+1/2,y+1/2,z+1/2'
'y+1/2,-x+1/2,-z+1/2'
'-x+1/2,-y+1/2,z+1/2'
'-y+1/2,x+1/2,-z+1/2'
loop_
_atom_site_label
_atom_site_fract_x
_atom_site_fract_y
_atom_site_fract_z
_atom_site_occupancy
Li1 0.000 0.000 0.000 1
Pd1 0.065 0.668 0.910 1
Pd2 0.095 0.831 0.237 1
Au1 0.000 0.500 0.250 1
Au2 0.118 0.791 0.581 1
```

Values from the calculation:
Energy relative to the elements (eV/atom): 0.04
ρ (g/cm³): 12.957

8.
Material: La4Pt3
Method: DFT, GGA-PBE
State: relaxed

CIF file:
```
data_La4Pt3
_symmetry_space_group_name_H-M 'R -3'
_symmetry_Int_Tables_number 148
_symmetry_space_group_name_Hall '-R 3'
_cell_length_a 13.3362
_cell_length_b 13.3362
_cell_length_c 7.6303
_cell_angle_alpha 90.00
_cell_angle_beta 90.00
_cell_angle_gamma 120.00
loop_
_atom_site_label
_atom_site_fract_x
_atom_site_fract_y
_atom_site_fract_z
_atom_site_occupancy
La1 0.0000 0.0000 0.0000 1
La2 0.0000 0.0000 0.5000 1
La3 0.0004 0.4480 0.2503 1
Pt1 0.0004 0.1852 0.2498 1
```

Values from the calculation:
Energy relative to the elements (eV/atom): -1.06
ρ (g/cm³): 9.672
Relative energy among the computed polymorphs (meV/atom): 0